Record 1
## BaNaTl2Pb (GGA-PBE)

Data for BaNaTl2Pb after structural relaxation.

a b c (Å): 5.1551 4.8911 7.7580
angles (deg): 108.37 109.41 90.00
Closest atoms and distances in Å follow each position.
Fractional positions:
Tl  0.6879  0.1879  0.3758  2 Pb 3.17, 2 Tl 3.18
Tl  0.0531  0.0531  0.1061  1 Pb 3.02, 2 Na 3.16, 2 Tl 3.18
Ba  0.4393  0.4393  0.8785  4 Pb 3.84, 6 Tl 3.88-4.21, 2 Na 4.13
Pb  0.8343  0.8343  0.6685  3 Tl 3.02-3.17, 2 Na 3.19
Na  0.1977  0.6977  0.3954  2 Tl 3.16, 2 Pb 3.19

Values from the calculation:
DOS at the Fermi energy = 1.54 states/eV per cell
Calculated total energy = -13.0 eV for the cell shown

---

Record 2
## Ba2NaTl3Pb4 (GGA-PBE)

Data for Ba2NaTl3Pb4 after structural relaxation.

a b c (Å): 5.0112 5.0112 14.1448
angles (deg): 90.00 90.00 90.00
Closest atoms and distances in Å follow each position.
Fractional positions:
Pb  0.0000  0.5000  0.3601  3 Tl 3.06-3.19, 2 Na 3.19
Pb  0.5000  0.5000  0.0000  4 Tl 3.23, 4 Pb 3.54
Pb  0.5000  0.0000  0.6399  3 Tl 3.06-3.19, 2 Na 3.19
Pb  0.0000  0.0000  0.0000  4 Tl 3.23, 4 Pb 3.54
Ba  0.0000  0.5000  0.7505  4 Tl 3.84, 4 Pb 3.87
Ba  0.5000  0.0000  0.2495  4 Tl 3.84, 4 Pb 3.87
Tl  0.0000  0.5000  0.1440  5 Pb 3.06-3.23
Tl  0.5000  0.0000  0.8560  5 Pb 3.06-3.23
Tl  0.0000  0.0000  0.5000  4 Pb 3.19, 4 Na 3.54
Na  0.5000  0.5000  0.5000  4 Pb 3.19, 4 Tl 3.54

Values from the calculation:
DOS at the Fermi energy = 5.47 states/eV per cell
Calculated total energy = -29.6 eV for the cell shown